# ZrNbRe4

ZrNbRe4 after structural relaxation (PBE-GGA, Alexandria via LeMat-Bulk).

For the formation enthalpy at 0 K, the calculation gives -1.11 eV per formula unit. For the total energy, the calculation gives -278.076 eV for the cell shown. As for the density of states at the Fermi level: 1.4197 states/eV per atom. The size of the total moment comes out at 0.0 μB/cell.

It has space group F-43m (No. 216), with a = 7.433 Å, b = 7.433 Å, c = 7.433 Å, α = 90.00°, β = 90.00° and γ = 90.00°. The distinct sites, in fractional coordinates, are Zr at (0.000, 0.000, 0.000), Nb at (0.250, 0.250, 0.750) and Re at (0.125, 0.125, 0.375).